Density functional theory data (PBE) for crystalline Sr2Ga2Ag15 at its relaxed geometry.

Values from the calculation:
Formation energy from the elements in eV/f.u.: -1.9
Calculated total energy in eV/f.u.: -54.105
DOS at the Fermi energy in states/eV/atom: 0.356

abc: 7.3749 7.3749 7.3749
angles: 83.01 83.01 83.01
Last column: nearest neighbours and their distance in Å.
Atoms (fractional coordinates):
Sr: 0.3402 0.3402 0.3402  18 Ag 3.39-3.75, 1 Ga 3.51
Sr: 0.6598 0.6598 0.6598  18 Ag 3.39-3.75, 1 Ga 3.51
Ga: 0.0935 0.0935 0.0935  1 Ga 2.66
Ga: 0.9065 0.9065 0.9065  1 Ga 2.66
Ag: 0.5000 0.0000 0.0000  8 Ag 2.82-2.83, 2 Ga 3.01
Ag: 0.0000 0.0000 0.5000  8 Ag 2.82-2.83, 2 Ga 3.01
Ag: 0.0000 0.5000 0.0000  8 Ag 2.82-2.83, 2 Ga 3.01
Ag: 0.0000 0.6925 0.3075  8 Ag 2.82-3.01
Ag: 0.6925 0.3075 0.0000  8 Ag 2.82-3.01
Ag: 0.3075 0.0000 0.6925  8 Ag 2.82-3.01
Ag: 0.3075 0.6925 0.0000  8 Ag 2.82-3.01
Ag: 0.6925 0.0000 0.3075  8 Ag 2.82-3.01
Ag: 0.0000 0.3075 0.6925  8 Ag 2.82-3.01
Ag: 0.1567 0.6554 0.6554  8 Ag 2.83-2.95, 1 Ga 3.07
Ag: 0.6554 0.6554 0.1567  8 Ag 2.83-2.95, 1 Ga 3.07
Ag: 0.6554 0.1567 0.6554  8 Ag 2.83-2.95, 1 Ga 3.07
Ag: 0.8433 0.3446 0.3446  8 Ag 2.83-2.95, 1 Ga 3.07
Ag: 0.3446 0.3446 0.8433  8 Ag 2.83-2.95, 1 Ga 3.07
Ag: 0.3446 0.8433 0.3446  8 Ag 2.83-2.95, 1 Ga 3.07